[1]
DFT (GGA-PBE) results for a relaxed structure of TcHg2TeP.

Cell and atoms, written as POSCAR:
```
TcHg2TeP
1.0
-2.6772 -3.5932 -3.0847
0.5232 -3.4346 3.5468
-4.7008 1.5875 2.2307
P Te Hg Tc
1 1 2 1
direct
0.5000 0.5000 0.5000
0.0000 0.5000 0.0000
0.0000 0.0000 0.5000
0.5000 0.0000 0.0000
0.0000 0.0000 0.0000
```

Properties
Volume (Å³ per cell): 146.9
Total DFT energy (no corrections) (eV for the cell shown): -14.920
ΔE_f (raw) (eV per atom): 0.9203

***

[2]
DFT (GGA-PBE) results for a relaxed structure of AlRuS3.

Cell and atoms, written as POSCAR:
```
AlRuS3
1.0
4.4877 0.0000 0.0000
0.0000 4.4877 0.0000
0.0000 0.0000 4.4877
Ru S Al
1 3 1
direct
0.5000 0.5000 0.5000
0.0000 0.5000 0.0000
0.0000 0.0000 0.5000
0.5000 0.0000 0.0000
0.0000 0.0000 0.0000
```

Properties
Polymorph energy (0 for the lowest one) (meV per atom): 241.3
Volume (Å³ per cell): 90.4
Total DFT energy (no corrections) (eV for the cell shown): -22.358
ΔE_f (raw) (eV per atom): 0.6085